Material: MgFe4Cu3O12
Method: DFT, PBE+U
State: relaxed Values from VASP.

Geometry as Quantum ESPRESSO input:
```
&SYSTEM
  ibrav = 0, nat = 20, ntyp = 4
/
ATOMIC_SPECIES
Mg 24.30 Mg.upf
Fe 55.84 Fe.upf
Cu 63.55 Cu.upf
O 16.00 O.upf
ATOMIC_POSITIONS crystal
Mg 0.000 0.000 0.000
Fe 0.000 0.000 0.500
Fe 0.000 0.500 0.000
Fe 0.500 0.000 0.000
Fe 0.500 0.500 0.500
Cu 0.000 0.500 0.500
Cu 0.500 0.000 0.500
Cu 0.500 0.500 0.000
O 0.143 0.310 0.833
O 0.167 0.477 0.310
O 0.167 0.857 0.690
O 0.310 0.167 0.477
O 0.310 0.833 0.143
O 0.477 0.310 0.167
O 0.523 0.690 0.833
O 0.690 0.167 0.857
O 0.690 0.833 0.523
O 0.833 0.143 0.310
O 0.833 0.523 0.690
O 0.857 0.690 0.167
CELL_PARAMETERS angstrom
-3.701 3.701 3.701
3.701 -3.701 3.701
3.701 3.701 -3.701
```

Results
- total DFT energy (no corrections) (eV/atom) = -5.881
- spin magnetization (Bohr magnetons per cell) = 19.00
- SG = Im-3, No. 204